{"formula": "CaFeSi2Cl", "functional": "PBE-GGA", "state": "optimized geometry", "lattice": [[4.813, 0.000, 0.000], [0.000, 4.813, 0.000], [0.000, 0.000, 4.945]], "species": ["Ca", "Fe", "Si", "Si", "Cl"], "frac_coords": [[0.000, 0.000, 0.000], [0.500, 0.500, 0.000], [0.000, 0.500, 0.500], [0.500, 0.000, 0.500], [0.000, 0.000, 0.500]], "m_tot_mub_per_cell": 3.05, "vol_a3_per_atom": 22.9, "raw_formation_energy_mev_per_atom": 812, "n_ef_per_ev_cell": 3.02, "space_group": "P4/mmm (123)"}

{"formula": "Tb2Tm2ZnPd4", "functional": "PBE-GGA", "state": "optimized geometry", "lattice": [[-3.408, 3.408, 4.243], [3.408, -3.408, 4.243], [3.408, 3.408, -4.243]], "species": ["Tb", "Tb", "Tm", "Tm", "Zn", "Pd", "Pd", "Pd", "Pd"], "frac_coords": [[0.189, 0.189, 0.000], [0.811, 0.811, 0.000], [0.250, 0.750, 0.500], [0.750, 0.250, 0.500], [0.500, 0.500, 0.000], [0.242, 0.242, 0.484], [0.242, 0.758, 0.000], [0.758, 0.242, 0.000], [0.758, 0.758, 0.516]], "m_tot_mub_per_cell": 0.00, "vol_a3_per_atom": 21.9, "n_ef_per_ev_cell": 7.43, "formation_energy_ev_per_atom": -0.505, "space_group": "I4/mmm (139)"}

{"formula": "CdIn2Sb2Au7", "functional": "PBE-GGA", "state": "optimized geometry", "lattice": [[2.934, -2.887, 0.000], [2.934, 2.887, 0.000], [-1.712, 0.000, 16.252]], "species": ["Cd", "In", "In", "Sb", "Sb", "Au", "Au", "Au", "Au", "Au", "Au", "Au"], "frac_coords": [[0.000, 0.000, 0.000], [0.422, 0.422, 0.743], [0.578, 0.578, 0.257], [0.106, 0.106, 0.421], [0.894, 0.894, 0.579], [0.041, 0.541, 0.137], [0.397, 0.397, 0.577], [0.459, 0.959, 0.863], [0.500, 0.500, 0.000], [0.541, 0.041, 0.137], [0.603, 0.603, 0.423], [0.959, 0.459, 0.863]], "m_tot_mub_per_cell": 0.00, "vol_a3_per_atom": 22.9, "raw_formation_energy_mev_per_atom": -69, "n_ef_per_ev_cell": 3.50, "space_group": "C2/m (12)"}

{"formula": "La5Nd12Ho2", "functional": "PBE-GGA", "state": "optimized geometry", "lattice": [[-2.629, 5.212, 12.609], [2.629, -5.212, 12.609], [2.629, 5.212, -12.609]], "species": ["La", "La", "La", "La", "La", "Nd", "Nd", "Nd", "Nd", "Nd", "Nd", "Nd", "Nd", "Nd", "Nd", "Nd", "Nd", "Ho", "Ho"], "frac_coords": [[0.000, 0.000, 0.000], [0.198, 0.198, 0.000], [0.302, 0.802, 0.500], [0.698, 0.198, 0.500], [0.802, 0.802, 0.000], [0.058, 0.304, 0.754], [0.099, 0.599, 0.500], [0.163, 0.906, 0.257], [0.352, 0.094, 0.257], [0.406, 0.406, 0.000], [0.450, 0.696, 0.754], [0.550, 0.304, 0.246], [0.594, 0.594, 0.000], [0.648, 0.906, 0.743], [0.837, 0.094, 0.743], [0.901, 0.401, 0.500], [0.942, 0.696, 0.246], [0.231, 0.500, 0.731], [0.769, 0.500, 0.269]], "m_tot_mub_per_cell": 0.00, "vol_a3_per_atom": 36.4, "n_ef_per_ev_cell": 33.59, "relative_energy_kj_per_mol_atoms": 0.0, "formation_energy_ev_per_atom": 0.110, "space_group": "Immm (71)"}

{"formula": "Ta2TlZn", "functional": "PBE-GGA", "state": "optimized geometry", "lattice": [[3.014, 0.000, 0.000], [-1.507, 2.611, 0.000], [0.000, 0.000, 28.762]], "species": ["Ta", "Ta", "Ta", "Ta", "Ta", "Ta", "Tl", "Tl", "Tl", "Zn", "Zn", "Zn"], "frac_coords": [[0.000, 0.000, 0.246], [0.000, 0.000, 0.754], [0.333, 0.667, 0.421], [0.333, 0.667, 0.912], [0.667, 0.333, 0.088], [0.667, 0.333, 0.579], [0.000, 0.000, 0.000], [0.333, 0.667, 0.667], [0.667, 0.333, 0.333], [0.000, 0.000, 0.500], [0.333, 0.667, 0.167], [0.667, 0.333, 0.833]], "m_tot_mub_per_cell": 0.00, "vol_a3_per_atom": 18.9, "n_ef_per_ev_cell": 12.56, "formation_energy_ev_per_atom": 0.418, "space_group": "R-3m (166)"}

{"formula": "PmThIn2", "functional": "PBE-GGA", "state": "optimized geometry", "lattice": [[3.575, 0.000, 0.000], [-1.788, 3.096, 0.000], [0.000, 0.000, 32.232]], "species": ["Pm", "Pm", "Pm", "Th", "Th", "Th", "In", "In", "In", "In", "In", "In"], "frac_coords": [[0.000, 0.000, 0.000], [0.333, 0.667, 0.667], [0.667, 0.333, 0.333], [0.000, 0.000, 0.500], [0.333, 0.667, 0.167], [0.667, 0.333, 0.833], [0.000, 0.000, 0.251], [0.000, 0.000, 0.749], [0.333, 0.667, 0.415], [0.333, 0.667, 0.918], [0.667, 0.333, 0.082], [0.667, 0.333, 0.585]], "m_tot_mub_per_cell": 0.00, "vol_a3_per_atom": 29.7, "n_ef_per_ev_cell": 16.14, "formation_energy_ev_per_atom": -0.199, "space_group": "R-3m (166)"}

{"formula": "AcAl2Se4", "functional": "PBE-GGA", "state": "optimized geometry", "lattice": [[7.833, 0.000, 0.000], [0.000, 7.833, 0.000], [0.000, 0.000, 5.948]], "species": ["Ac", "Ac", "Al", "Al", "Al", "Al", "Se", "Se", "Se", "Se", "Se", "Se", "Se", "Se"], "frac_coords": [[0.000, 0.000, 0.000], [0.500, 0.500, 0.500], [0.000, 0.500, 0.250], [0.000, 0.500, 0.750], [0.500, 0.000, 0.250], [0.500, 0.000, 0.750], [0.137, 0.702, 0.500], [0.202, 0.363, 0.000], [0.298, 0.137, 0.500], [0.363, 0.798, 0.000], [0.637, 0.202, 0.000], [0.702, 0.863, 0.500], [0.798, 0.637, 0.000], [0.863, 0.298, 0.500]], "m_tot_mub_per_cell": 0.00, "vol_a3_per_atom": 26.1, "raw_formation_energy_mev_per_atom": -1006, "n_ef_per_ev_cell": 7.03, "space_group": "I4/m (87)"}

{"formula": "Ge2MoOs", "functional": "PBE-GGA", "state": "optimized geometry", "lattice": [[2.861, 0.000, 0.000], [-1.430, 2.477, 0.000], [0.000, 0.000, 27.550]], "species": ["Ge", "Ge", "Ge", "Ge", "Ge", "Ge", "Mo", "Mo", "Mo", "Os", "Os", "Os"], "frac_coords": [[0.000, 0.000, 0.090], [0.000, 0.000, 0.910], [0.333, 0.667, 0.577], [0.333, 0.667, 0.756], [0.667, 0.333, 0.244], [0.667, 0.333, 0.423], [0.000, 0.000, 0.500], [0.333, 0.667, 0.167], [0.667, 0.333, 0.833], [0.000, 0.000, 0.000], [0.333, 0.667, 0.667], [0.667, 0.333, 0.333]], "m_tot_mub_per_cell": 0.00, "vol_a3_per_atom": 16.3, "n_ef_per_ev_cell": 10.57, "relative_energy_kj_per_mol_atoms": 23.2, "formation_energy_ev_per_atom": 0.400, "space_group": "R-3m (166)"}

{"formula": "TlInW", "functional": "PBE-GGA", "state": "optimized geometry", "lattice": [[3.517, 0.000, 0.000], [0.000, 4.847, 0.000], [0.000, 0.000, 15.434]], "species": ["Tl", "Tl", "Tl", "Tl", "In", "In", "In", "In", "W", "W", "W", "W"], "frac_coords": [[0.000, 0.000, 0.000], [0.000, 0.500, 0.500], [0.500, 0.000, 0.500], [0.500, 0.500, 0.000], [0.000, 0.000, 0.308], [0.000, 0.500, 0.808], [0.500, 0.000, 0.808], [0.500, 0.500, 0.308], [0.000, 0.000, 0.660], [0.000, 0.500, 0.160], [0.500, 0.000, 0.160], [0.500, 0.500, 0.660]], "m_tot_mub_per_cell": 0.00, "vol_a3_per_atom": 21.9, "n_ef_per_ev_cell": 9.94, "relative_energy_kj_per_mol_atoms": 6.0, "formation_energy_ev_per_atom": 0.850, "space_group": "Fmm2 (42)"}

{"formula": "CrAgOs2C", "functional": "PBE-GGA", "state": "optimized geometry", "lattice": [[4.907, 0.000, 0.000], [0.000, 4.907, 0.000], [0.000, 0.000, 3.625]], "species": ["Cr", "Ag", "Os", "Os", "C"], "frac_coords": [[0.000, 0.000, 0.000], [0.500, 0.500, 0.500], [0.000, 0.500, 0.500], [0.500, 0.000, 0.500], [0.500, 0.500, 0.000]], "m_tot_mub_per_cell": 0.06, "vol_a3_per_atom": 17.5, "n_ef_per_ev_cell": 11.04, "formation_energy_ev_per_atom": 3.230, "space_group": "P4/mmm (123)"}

{"formula": "Hf12Co6Rh", "functional": "PBE-GGA", "state": "optimized geometry", "lattice": [[-4.407, 4.407, 4.407], [4.407, -4.407, 4.407], [4.407, 4.407, -4.407]], "species": ["Hf", "Hf", "Hf", "Hf", "Hf", "Hf", "Hf", "Hf", "Hf", "Hf", "Hf", "Hf", "Co", "Co", "Co", "Co", "Co", "Co", "Rh"], "frac_coords": [[0.112, 0.294, 0.819], [0.181, 0.475, 0.294], [0.181, 0.888, 0.706], [0.294, 0.181, 0.475], [0.294, 0.819, 0.112], [0.475, 0.294, 0.181], [0.525, 0.706, 0.819], [0.706, 0.181, 0.888], [0.706, 0.819, 0.525], [0.819, 0.112, 0.294], [0.819, 0.525, 0.706], [0.888, 0.706, 0.181], [0.138, 0.500, 0.638], [0.362, 0.862, 0.500], [0.500, 0.362, 0.862], [0.500, 0.638, 0.138], [0.638, 0.138, 0.500], [0.862, 0.500, 0.362], [0.000, 0.000, 0.000]], "m_tot_mub_per_cell": 0.00, "vol_a3_per_atom": 18.0, "n_ef_per_ev_cell": 13.23, "relative_energy_kj_per_mol_atoms": 0.0, "formation_energy_ev_per_atom": -0.340, "space_group": "Im-3 (204)"}

{"formula": "LaSeNO2", "functional": "PBE-GGA", "state": "optimized geometry", "lattice": [[4.271, 0.000, 0.000], [0.000, 4.271, 0.000], [0.000, 0.000, 5.124]], "species": ["La", "Se", "N", "O", "O"], "frac_coords": [[0.000, 0.000, 0.000], [0.500, 0.500, 0.500], [0.000, 0.000, 0.500], [0.000, 0.500, 0.000], [0.500, 0.000, 0.000]], "m_tot_mub_per_cell": 0.00, "vol_a3_per_atom": 18.7, "raw_formation_energy_mev_per_atom": 117, "n_ef_per_ev_cell": 8.51, "space_group": "P4/mmm (123)"}

{"formula": "HfSbAs2Se", "functional": "PBE-GGA", "state": "optimized geometry", "lattice": [[5.221, 0.000, 0.000], [0.000, 5.221, 0.000], [0.000, 0.000, 5.024]], "species": ["Hf", "Sb", "As", "As", "Se"], "frac_coords": [[0.000, 0.000, 0.000], [0.500, 0.500, 0.500], [0.000, 0.500, 0.000], [0.500, 0.000, 0.000], [0.000, 0.000, 0.500]], "m_tot_mub_per_cell": 0.00, "vol_a3_per_atom": 27.4, "raw_formation_energy_mev_per_atom": 130, "n_ef_per_ev_cell": 4.15, "relative_energy_kj_per_mol_atoms": 0.0, "space_group": "P4/mmm (123)"}

{"formula": "Rb5In2S5", "functional": "PBE-GGA", "state": "optimized geometry", "lattice": [[7.502, -2.288, 0.000], [7.502, 2.288, 0.000], [-2.706, 0.000, 11.573]], "species": ["Rb", "Rb", "Rb", "Rb", "Rb", "In", "In", "S", "S", "S", "S", "S"], "frac_coords": [[0.000, 0.000, 0.000], [0.152, 0.152, 0.576], [0.269, 0.269, 0.870], [0.731, 0.731, 0.130], [0.848, 0.848, 0.424], [0.464, 0.464, 0.705], [0.536, 0.536, 0.295], [0.128, 0.128, 0.289], [0.392, 0.392, 0.141], [0.500, 0.500, 0.500], [0.608, 0.608, 0.859], [0.872, 0.872, 0.711]], "m_tot_mub_per_cell": 0.00, "vol_a3_per_atom": 33.1, "raw_formation_energy_mev_per_atom": -912, "n_ef_per_ev_cell": 1.99, "space_group": "C2/m (12)"}

{"formula": "Th3AuC", "functional": "PBE-GGA", "state": "optimized geometry", "lattice": [[1.894, -6.370, 0.000], [1.894, 6.370, 0.000], [0.000, 0.000, 10.230]], "species": ["Th", "Th", "Th", "Th", "Th", "Th", "Au", "Au", "C", "C"], "frac_coords": [[0.054, 0.946, 0.750], [0.370, 0.630, 0.550], [0.370, 0.630, 0.950], [0.630, 0.370, 0.050], [0.630, 0.370, 0.450], [0.946, 0.054, 0.250], [0.247, 0.753, 0.250], [0.753, 0.247, 0.750], [0.000, 0.000, 0.000], [0.000, 0.000, 0.500]], "m_tot_mub_per_cell": 0.00, "vol_a3_per_atom": 24.7, "n_ef_per_ev_cell": 9.77, "relative_energy_kj_per_mol_atoms": 0.0, "formation_energy_ev_per_atom": -0.445, "space_group": "Cmcm (63)"}

{"formula": "Rb2NpMnS6", "functional": "PBE-GGA", "state": "optimized geometry", "lattice": [[-3.387, 3.387, 5.504], [3.387, -3.387, 5.504], [3.387, 3.387, -5.504]], "species": ["Rb", "Rb", "Np", "Mn", "S", "S", "S", "S", "S", "S"], "frac_coords": [[0.000, 0.500, 0.500], [0.500, 0.000, 0.500], [0.247, 0.247, 0.000], [0.800, 0.800, 0.000], [0.008, 0.008, 0.000], [0.465, 0.465, 0.000], [0.514, 0.514, 0.536], [0.514, 0.979, 0.000], [0.979, 0.514, 0.000], [0.979, 0.979, 0.464]], "m_tot_mub_per_cell": 4.45, "vol_a3_per_atom": 25.3, "raw_formation_energy_mev_per_atom": -852, "n_ef_per_ev_cell": 8.49, "space_group": "I4mm (107)"}

{"formula": "SrAgTe2", "functional": "PBE-GGA", "state": "optimized geometry", "lattice": [[7.777, 0.000, 0.000], [0.000, 7.777, 0.000], [0.000, 0.000, 7.777]], "species": ["Sr", "Sr", "Sr", "Sr", "Ag", "Ag", "Ag", "Ag", "Te", "Te", "Te", "Te", "Te", "Te", "Te", "Te"], "frac_coords": [[0.000, 0.000, 0.000], [0.000, 0.500, 0.500], [0.500, 0.000, 0.500], [0.500, 0.500, 0.000], [0.250, 0.250, 0.250], [0.250, 0.750, 0.750], [0.750, 0.250, 0.750], [0.750, 0.750, 0.250], [0.000, 0.000, 0.500], [0.000, 0.500, 0.000], [0.250, 0.250, 0.750], [0.250, 0.750, 0.250], [0.500, 0.000, 0.000], [0.500, 0.500, 0.500], [0.750, 0.250, 0.250], [0.750, 0.750, 0.750]], "m_tot_mub_per_cell": 0.00, "vol_a3_per_atom": 29.4, "raw_formation_energy_mev_per_atom": -366, "n_ef_per_ev_cell": 9.33, "space_group": "F-43m (216)"}

{"formula": "Sr2LiInP", "functional": "PBE-GGA", "state": "optimized geometry", "lattice": [[6.095, 0.000, 0.000], [0.000, 6.095, 0.000], [0.000, 0.000, 4.817]], "species": ["Sr", "Sr", "Li", "In", "P"], "frac_coords": [[0.000, 0.500, 0.000], [0.500, 0.000, 0.000], [0.000, 0.000, 0.500], [0.500, 0.500, 0.500], [0.000, 0.000, 0.000]], "m_tot_mub_per_cell": 0.57, "vol_a3_per_atom": 35.8, "n_ef_per_ev_cell": 4.84, "relative_energy_kj_per_mol_atoms": 0.0, "formation_energy_ev_per_atom": -0.493, "space_group": "P4/mmm (123)"}

{"formula": "ScFe2TcC", "functional": "PBE-GGA", "state": "optimized geometry", "lattice": [[3.905, 0.000, 0.000], [0.000, 3.905, 0.000], [0.000, 0.000, 4.138]], "species": ["Sc", "Fe", "Fe", "Tc", "C"], "frac_coords": [[0.000, 0.000, 0.000], [0.000, 0.500, 0.500], [0.500, 0.000, 0.500], [0.500, 0.500, 0.000], [0.500, 0.500, 0.500]], "m_tot_mub_per_cell": 3.79, "vol_a3_per_atom": 12.6, "n_ef_per_ev_cell": 4.12, "formation_energy_ev_per_atom": -0.137, "space_group": "P4/mmm (123)"}

{"formula": "ZrCrRh2Au", "functional": "PBE-GGA", "state": "optimized geometry", "lattice": [[4.901, 0.000, 0.000], [0.000, 4.901, 0.000], [0.000, 0.000, 4.606]], "species": ["Zr", "Cr", "Rh", "Rh", "Au"], "frac_coords": [[0.000, 0.000, 0.000], [0.500, 0.500, 0.000], [0.000, 0.500, 0.500], [0.500, 0.000, 0.500], [0.500, 0.500, 0.500]], "m_tot_mub_per_cell": 4.25, "vol_a3_per_atom": 22.1, "n_ef_per_ev_cell": 3.77, "formation_energy_ev_per_atom": 1.148, "space_group": "P4/mmm (123)"}